# Pm2Be3Ge4Au, relaxed, DFT GGA-PBE
data_Pm2Be3Ge4Au
_symmetry_space_group_name_H-M 'P 1'
_symmetry_Int_Tables_number 1
_cell_length_a 4.1790
_cell_length_b 4.1790
_cell_length_c 9.9483
_cell_angle_alpha 90.00
_cell_angle_beta 90.00
_cell_angle_gamma 90.00
loop_
_symmetry_equiv_pos_as_xyz
'x,y,z'
loop_
_atom_site_label
_atom_site_type_symbol
_atom_site_fract_x
_atom_site_fract_y
_atom_site_fract_z
Pm1 Pm 0.0000 0.5000 0.2416
Pm2 Pm 0.5000 0.0000 0.7584
Be1 Be 0.0000 0.5000 0.8790
Be2 Be 0.5000 0.0000 0.1210
Be3 Be 0.5000 0.5000 0.5000
Ge1 Ge 0.0000 0.0000 0.0000
Ge2 Ge 0.0000 0.5000 0.6508
Ge3 Ge 0.5000 0.0000 0.3492
Ge4 Ge 0.5000 0.5000 0.0000
Au1 Au 0.0000 0.0000 0.5000
# Raw total energy: -4.6392 eV/atom
# Space group: No. 115
# Energy relative to the elements: -0.397 eV per atom